Entry 1:
# Cd2PtN, relaxed, DFT PBE-GGA
# Total moment   0.0 μB/cell
data_Cd2PtN
_space_group_name_H-M_alt 'I -4 2 d'
_space_group_IT_number 122
_space_group_name_Hall 'I -4 2bw'
_cell_length_a 6.9605
_cell_length_b 6.9605
_cell_length_c 5.4822
_cell_angle_alpha 90.00
_cell_angle_beta 90.00
_cell_angle_gamma 90.00
loop_
_atom_site_label
_atom_site_fract_x
_atom_site_fract_y
_atom_site_fract_z
Cd1 0.1855 0.2500 0.1250
Pt1 0.0000 0.0000 0.5000
N1 0.0000 0.0000 0.0000

Entry 2:
# LiNbP2, relaxed, DFT PBE-GGA
# Total moment   0.0 μB/cell
# Formation enthalpy at 0 K   -0.553 eV per atom
# Relative energy among the computed polymorphs   13.3 meV/atom
data_LiNbP2
_space_group_name_H-M_alt 'R -3 m'
_space_group_IT_number 166
_space_group_name_Hall '-R 3 2"'
_cell_length_a 3.4072
_cell_length_b 3.4072
_cell_length_c 20.2024
_cell_angle_alpha 90.00
_cell_angle_beta 90.00
_cell_angle_gamma 120.00
loop_
_atom_site_label
_atom_site_fract_x
_atom_site_fract_y
_atom_site_fract_z
Li1 0.0000 0.0000 0.0000
Nb1 0.0000 0.0000 0.5000
P1 0.0000 0.0000 0.2462

Entry 3:
# VCrFe2, relaxed, DFT PBE-GGA
# Total moment   7.4 μB/cell
# Formation enthalpy at 0 K   -0.033 eV per atom
data_VCrFe2
_space_group_name_H-M_alt 'C m m 2'
_space_group_IT_number 35
_cell_length_a 2.9120
_cell_length_b 4.0038
_cell_length_c 8.0770
_cell_angle_alpha 90.00
_cell_angle_beta 90.00
_cell_angle_gamma 90.00
loop_
_space_group_symop_operation_xyz
'x,y,z'
'-x,-y,z'
'-x,y,z'
'x,-y,z'
'x+1/2,y+1/2,z'
'-x+1/2,-y+1/2,z'
'-x+1/2,y+1/2,z'
'x+1/2,-y+1/2,z'
loop_
_atom_site_label
_atom_site_fract_x
_atom_site_fract_y
_atom_site_fract_z
V1 0.0000 0.0000 0.0000
Cr1 0.0000 0.5000 0.7418
Fe1 0.0000 0.0000 0.4975
Fe2 0.0000 0.5000 0.2532

Entry 4:
# NaGa2Ag6, relaxed, DFT PBE-GGA
# Total moment   0.0 μB/cell
# Formation enthalpy at 0 K   0.112 eV per atom
# Relative energy among the computed polymorphs   98.9 meV/atom
data_NaGa2Ag6
_space_group_name_H-M_alt 'P -3 1 m'
_space_group_IT_number 162
_space_group_name_Hall '-P 3 2'
_cell_length_a 4.9401
_cell_length_b 4.9401
_cell_length_c 9.8334
_cell_angle_alpha 90.00
_cell_angle_beta 90.00
_cell_angle_gamma 120.00
loop_
_atom_site_label
_atom_site_fract_x
_atom_site_fract_y
_atom_site_fract_z
Na1 0.0000 0.0000 0.0000
Ga1 0.3333 0.6667 0.5000
Ag1 0.0000 0.3303 0.7305

Entry 5:
# CaLa2In, relaxed, DFT PBE-GGA
# Total moment   0.0 μB/cell
# Formation enthalpy at 0 K   -0.190 eV per atom
# Relative energy among the computed polymorphs   57.1 meV/atom
data_CaLa2In
_space_group_name_H-M_alt 'P 4/m m m'
_space_group_IT_number 123
_space_group_name_Hall '-P 4 2'
_cell_length_a 3.7610
_cell_length_b 3.7610
_cell_length_c 10.1590
_cell_angle_alpha 90.00
_cell_angle_beta 90.00
_cell_angle_gamma 90.00
loop_
_atom_site_label
_atom_site_fract_x
_atom_site_fract_y
_atom_site_fract_z
Ca1 0.0000 0.0000 0.0000
La1 0.5000 0.5000 0.2926
In1 0.0000 0.0000 0.5000

Entry 6:
# KAlV2Tc, relaxed, DFT PBE-GGA
# Total moment   0.0 μB/cell
# Formation enthalpy at 0 K   2.437 eV per atom
data_KAlV2Tc
_space_group_name_H-M_alt 'P 4/m m m'
_space_group_IT_number 123
_space_group_name_Hall '-P 4 2'
_cell_length_a 4.2638
_cell_length_b 4.2638
_cell_length_c 4.5677
_cell_angle_alpha 90.00
_cell_angle_beta 90.00
_cell_angle_gamma 90.00
loop_
_atom_site_label
_atom_site_fract_x
_atom_site_fract_y
_atom_site_fract_z
K1 0.0000 0.0000 0.0000
Al1 0.5000 0.5000 0.5000
V1 0.0000 0.5000 0.0000
Tc1 0.0000 0.0000 0.5000

Entry 7:
# NaBeAu2, relaxed, DFT PBE-GGA
# Total moment   0.0 μB/cell
# Formation enthalpy at 0 K   -0.068 eV per atom
data_NaBeAu2
_space_group_name_H-M_alt 'R -3 m'
_space_group_IT_number 166
_space_group_name_Hall '-R 3 2"'
_cell_length_a 3.3227
_cell_length_b 3.3227
_cell_length_c 23.0322
_cell_angle_alpha 90.00
_cell_angle_beta 90.00
_cell_angle_gamma 120.00
loop_
_atom_site_label
_atom_site_fract_x
_atom_site_fract_y
_atom_site_fract_z
Na1 0.0000 0.0000 0.0000
Be1 0.0000 0.0000 0.5000
Au1 0.0000 0.0000 0.2272

Entry 8:
# HfNbRh2, relaxed, DFT PBE-GGA
# Total moment   0.0 μB/cell
# Formation enthalpy at 0 K   -0.152 eV per atom
data_HfNbRh2
_space_group_name_H-M_alt 'I -4 2 d'
_space_group_IT_number 122
_space_group_name_Hall 'I -4 2bw'
_cell_length_a 7.1171
_cell_length_b 7.1171
_cell_length_c 5.7001
_cell_angle_alpha 90.00
_cell_angle_beta 90.00
_cell_angle_gamma 90.00
loop_
_atom_site_label
_atom_site_fract_x
_atom_site_fract_y
_atom_site_fract_z
Hf1 0.0000 0.0000 0.0000
Nb1 0.0000 0.0000 0.5000
Rh1 0.2384 0.2500 0.6250

Entry 9:
# PHPdN, relaxed, DFT PBE-GGA
# Total moment   0.0 μB/cell
# Relative energy among the computed polymorphs   31.5 meV/atom
data_PHPdN
_space_group_name_H-M_alt 'C 1 m 1'
_space_group_IT_number 8
_cell_length_a 6.3902
_cell_length_b 3.4177
_cell_length_c 4.7147
_cell_angle_alpha 90.00
_cell_angle_beta 107.50
_cell_angle_gamma 90.00
loop_
_space_group_symop_operation_xyz
'x,y,z'
'x,-y,z'
'x+1/2,y+1/2,z'
'x+1/2,-y+1/2,z'
loop_
_atom_site_label
_atom_site_fract_x
_atom_site_fract_y
_atom_site_fract_z
P1 0.0000 0.0000 0.0000
H1 0.2599 0.0000 0.4144
Pd1 0.1196 0.5000 0.7544
N1 0.0909 0.0000 0.3626

Entry 10:
# PrY2Rh, relaxed, DFT PBE-GGA
# Total moment   0.0 μB/cell
# Formation enthalpy at 0 K   -0.405 eV per atom
# Relative energy among the computed polymorphs   72.2 meV/atom
data_PrY2Rh
_space_group_name_H-M_alt 'P 4/m m m'
_space_group_IT_number 123
_space_group_name_Hall '-P 4 2'
_cell_length_a 3.5169
_cell_length_b 3.5169
_cell_length_c 8.8639
_cell_angle_alpha 90.00
_cell_angle_beta 90.00
_cell_angle_gamma 90.00
loop_
_atom_site_label
_atom_site_fract_x
_atom_site_fract_y
_atom_site_fract_z
Pr1 0.0000 0.0000 0.0000
Y1 0.5000 0.5000 0.3149
Rh1 0.0000 0.0000 0.5000

Entry 11:
# La2YSc, relaxed, DFT PBE-GGA
# Total moment   0.0 μB/cell
# Formation enthalpy at 0 K   0.056 eV per atom
# Relative energy among the computed polymorphs   15.5 meV/atom
data_La2YSc
_space_group_name_H-M_alt 'C 1 m 1'
_space_group_IT_number 8
_cell_length_a 11.9680
_cell_length_b 3.6078
_cell_length_c 6.0945
_cell_angle_alpha 90.00
_cell_angle_beta 100.88
_cell_angle_gamma 90.00
loop_
_space_group_symop_operation_xyz
'x,y,z'
'x,-y,z'
'x+1/2,y+1/2,z'
'x+1/2,-y+1/2,z'
loop_
_atom_site_label
_atom_site_fract_x
_atom_site_fract_y
_atom_site_fract_z
La1 0.0000 0.0000 0.0000
La2 0.2445 0.0000 0.7475
Y1 0.2574 0.5000 0.2577
Sc1 0.4982 0.0000 0.5009

Entry 12:
# EuCd2Sb, relaxed, DFT PBE-GGA
# Total moment   23.5 μB/cell
# Relative energy among the computed polymorphs   637.6 meV/atom
data_EuCd2Sb
_space_group_name_H-M_alt 'R -3 m'
_space_group_IT_number 166
_space_group_name_Hall '-R 3 2"'
_cell_length_a 3.4090
_cell_length_b 3.4090
_cell_length_c 35.1019
_cell_angle_alpha 90.00
_cell_angle_beta 90.00
_cell_angle_gamma 120.00
loop_
_atom_site_label
_atom_site_fract_x
_atom_site_fract_y
_atom_site_fract_z
Eu1 0.0000 0.0000 0.0000
Cd1 0.0000 0.0000 0.0914
Sb1 0.0000 0.0000 0.5000

Entry 13:
# KBaNaLi, relaxed, DFT PBE-GGA
# Total moment   0.0 μB/cell
# Formation enthalpy at 0 K   0.102 eV per atom
data_KBaNaLi
_space_group_name_H-M_alt 'F -4 3 m'
_space_group_IT_number 216
_space_group_name_Hall 'F -4 2 3'
_cell_length_a 9.1495
_cell_length_b 9.1495
_cell_length_c 9.1495
_cell_angle_alpha 90.00
_cell_angle_beta 90.00
_cell_angle_gamma 90.00
loop_
_atom_site_label
_atom_site_fract_x
_atom_site_fract_y
_atom_site_fract_z
K1 0.0000 0.0000 0.0000
Ba1 0.0000 0.0000 0.5000
Na1 0.2500 0.2500 0.2500
Li1 0.2500 0.2500 0.7500

Entry 14:
# InAsF3, relaxed, DFT PBE-GGA
# Total moment   0.0 μB/cell
# Relative energy among the computed polymorphs   0.0 meV/atom
data_InAsF3
_space_group_name_H-M_alt 'P m -3 m'
_space_group_IT_number 221
_space_group_name_Hall '-P 4 2 3'
_cell_length_a 4.4643
_cell_length_b 4.4643
_cell_length_c 4.4643
_cell_angle_alpha 90.00
_cell_angle_beta 90.00
_cell_angle_gamma 90.00
loop_
_atom_site_label
_atom_site_fract_x
_atom_site_fract_y
_atom_site_fract_z
In1 0.0000 0.0000 0.0000
As1 0.5000 0.5000 0.5000
F1 0.0000 0.5000 0.5000

Entry 15:
# LiSb2H, relaxed, DFT PBE-GGA
# Total moment   0.0 μB/cell
# Relative energy among the computed polymorphs   9.5 meV/atom
data_LiSb2H
_space_group_name_H-M_alt 'I -4 2 d'
_space_group_IT_number 122
_space_group_name_Hall 'I -4 2bw'
_cell_length_a 5.6494
_cell_length_b 5.6494
_cell_length_c 11.9477
_cell_angle_alpha 90.00
_cell_angle_beta 90.00
_cell_angle_gamma 90.00
loop_
_atom_site_label
_atom_site_fract_x
_atom_site_fract_y
_atom_site_fract_z
Li1 0.0000 0.0000 0.0000
Sb1 0.0981 0.2500 0.6250
H1 0.0000 0.0000 0.5000

Entry 16:
# KNaCr2, relaxed, DFT PBE-GGA
# Total moment   40.4 μB/cell
# Formation enthalpy at 0 K   1.268 eV per atom
# Relative energy among the computed polymorphs   35.7 meV/atom
data_KNaCr2
_space_group_name_H-M_alt 'I -4 2 d'
_space_group_IT_number 122
_space_group_name_Hall 'I -4 2bw'
_cell_length_a 9.0861
_cell_length_b 9.0861
_cell_length_c 6.2562
_cell_angle_alpha 90.00
_cell_angle_beta 90.00
_cell_angle_gamma 90.00
loop_
_atom_site_label
_atom_site_fract_x
_atom_site_fract_y
_atom_site_fract_z
K1 0.0000 0.0000 0.0000
Na1 0.0000 0.0000 0.5000
Cr1 0.2295 0.2500 0.6250

What are the uncorrected energy values for these records? In order: -54.9; -75.0; -71.6; -23.5; -15.4; -21.3; -35.6; -141.3; -45.1; -26.7; -44.9; -46.6; -23.4; -19.9; -49.3; -66.4 eV per cell.